The following is a DFT calculation (PBE-GGA) of an optimized crystal structure of TbHfSe.

Values from the calculation:
The uncorrected formation energy is -82.2 kJ per mole of atoms. As for the space-group type: P-6m2. For the magnetization, the calculation gives 0.000 μB per cell. The density is 9.64 g/cm3.

Cell: 3.5656 3.5656 13.0243 Å, 90.00 90.00 120.00°
Sites, in units of the cell vectors:
Tb 0.0000 0.0000 0.2000
Tb 0.0000 0.0000 0.8000
Hf 0.0000 0.0000 0.5000
Hf 0.6667 0.3333 0.0000
Se 0.6667 0.3333 0.3646
Se 0.6667 0.3333 0.6354